(1)
# CsTl2GeCl5 (PBE, relaxed)
data_CsTl2GeCl5
_symmetry_space_group_name_H-M 'I 4/m c m'
_symmetry_Int_Tables_number 140
_symmetry_space_group_name_Hall '-I 4 2c'
_cell_length_a 8.823
_cell_length_b 8.823
_cell_length_c 15.626
_cell_angle_alpha 90.00
_cell_angle_beta 90.00
_cell_angle_gamma 90.00
loop_
_atom_site_label
_atom_site_fract_x
_atom_site_fract_y
_atom_site_fract_z
Cs1 0.000 0.000 0.250
Tl1 0.174 0.326 0.000
Ge1 0.000 0.500 0.250
Cl1 0.000 0.000 0.000
Cl2 0.156 0.344 0.353
# - Formation energy without anion corrections: -1.14 eV per atom

=====

(2)
# Rb3Zr3MnSe8 (PBE, relaxed)
data_Rb3Zr3MnSe8
_symmetry_space_group_name_H-M 'C 1 2/m 1'
_symmetry_Int_Tables_number 12
_cell_length_a 13.615
_cell_length_b 7.851
_cell_length_c 9.344
_cell_angle_alpha 90.00
_cell_angle_beta 119.09
_cell_angle_gamma 90.00
loop_
_symmetry_equiv_pos_as_xyz
'x,y,z'
'-x,-y,-z'
'-x,y,-z'
'x,-y,z'
'x+1/2,y+1/2,z'
'-x+1/2,-y+1/2,-z'
'-x+1/2,y+1/2,-z'
'x+1/2,-y+1/2,z'
loop_
_atom_site_label
_atom_site_fract_x
_atom_site_fract_y
_atom_site_fract_z
Rb1 0.000 0.000 0.000
Rb2 0.250 0.250 0.000
Zr1 0.000 0.500 0.500
Zr2 0.250 0.250 0.500
Mn1 0.000 0.000 0.500
Se1 0.022 0.252 0.314
Se2 0.230 0.000 0.686
Se3 0.231 0.500 0.693
# - Formation energy without anion corrections: -1.22 eV per atom

=====

(3)
# Y2MgW (PBE, relaxed)
data_Y2MgW
_symmetry_space_group_name_H-M 'P 4/m m m'
_symmetry_Int_Tables_number 123
_symmetry_space_group_name_Hall '-P 4 2'
_cell_length_a 5.375
_cell_length_b 5.375
_cell_length_c 3.319
_cell_angle_alpha 90.00
_cell_angle_beta 90.00
_cell_angle_gamma 90.00
loop_
_atom_site_label
_atom_site_fract_x
_atom_site_fract_y
_atom_site_fract_z
Y1 0.000 0.500 0.000
Mg1 0.000 0.000 0.500
W1 0.500 0.500 0.500
# - Energy of formation from the pure elements: 0.4317 eV/atom

=====

(4)
# Al2Si2Se (PBE, relaxed)
data_Al2Si2Se
_symmetry_space_group_name_H-M 'I 4/m m m'
_symmetry_Int_Tables_number 139
_symmetry_space_group_name_Hall '-I 4 2'
_cell_length_a 4.396
_cell_length_b 4.396
_cell_length_c 9.762
_cell_angle_alpha 90.00
_cell_angle_beta 90.00
_cell_angle_gamma 90.00
loop_
_atom_site_label
_atom_site_fract_x
_atom_site_fract_y
_atom_site_fract_z
Al1 0.000 0.500 0.250
Si1 0.000 0.000 0.117
Se1 0.000 0.000 0.500
# - Distance to the lowest polymorph of the same formula: 0.141 eV per atom
# - Formation energy without anion corrections: 0.19 eV per atom

=====

(5)
# CdGaSnAu (PBE, relaxed)
data_CdGaSnAu
_symmetry_space_group_name_H-M 'F -4 3 m'
_symmetry_Int_Tables_number 216
_symmetry_space_group_name_Hall 'F -4 2 3'
_cell_length_a 7.034
_cell_length_b 7.034
_cell_length_c 7.034
_cell_angle_alpha 90.00
_cell_angle_beta 90.00
_cell_angle_gamma 90.00
loop_
_atom_site_label
_atom_site_fract_x
_atom_site_fract_y
_atom_site_fract_z
Cd1 0.000 0.000 0.000
Ga1 0.250 0.250 0.250
Sn1 0.000 0.000 0.500
Au1 0.250 0.250 0.750
# - Energy of formation from the pure elements: 0.0406 eV/atom

=====

(6)
# MgZn2Sn (PBE, relaxed)
data_MgZn2Sn
_symmetry_space_group_name_H-M 'P 4/m m m'
_symmetry_Int_Tables_number 123
_symmetry_space_group_name_Hall '-P 4 2'
_cell_length_a 4.353
_cell_length_b 4.353
_cell_length_c 4.148
_cell_angle_alpha 90.00
_cell_angle_beta 90.00
_cell_angle_gamma 90.00
loop_
_atom_site_label
_atom_site_fract_x
_atom_site_fract_y
_atom_site_fract_z
Mg1 0.000 0.000 0.000
Zn1 0.000 0.500 0.500
Sn1 0.500 0.500 0.000
# - Energy of formation from the pure elements: 0.0038 eV/atom